DFT (PBE) results for an optimized crystal structure of LaTa2Pb.

abc: 6.390 9.662 3.028
angles: 90.00 90.00 90.00
Space group Cmmm (No. 65)
One atom of each set of equivalent atoms:
La (0.000, 0.000, 0.000) (multiplicity 2)
Ta (0.250, 0.250, 0.500) (multiplicity 4)
Pb (0.000, 0.500, 0.000) (multiplicity 2)

Output
DOS(E_F) = 1.01 states/eV/atom
Electronic total energy = -0.2718 hartree per atom

---

DFT (PBE) results for an optimized crystal structure of TbEuInCu.

abc: 7.464 7.464 7.464
angles: 90.00 90.00 90.00
Space group F-43m (No. 216)
One atom of each set of equivalent atoms:
Tb (0.000, 0.000, 0.000) (multiplicity 4)
Eu (0.000, 0.000, 0.500) (multiplicity 4)
In (0.250, 0.250, 0.250) (multiplicity 4)
Cu (0.250, 0.250, 0.750) (multiplicity 4)

Output
DOS(E_F) = 2.35 states/eV/atom
Electronic total energy = -0.2085 hartree per atom

---

> The highest DOS(E_F) belongs to which entry?

TbEuInCu

---

> What is the formula in the second record?

TbEuInCu